[1]
Material: RbNaCdTe2
Method: DFT, PBE
State: relaxed

```
data_RbNaCdTe2
_chemical_formula_sum 'Rb2 Na2 Cd2 Te4'
_symmetry_space_group_name_H-M 'P 1'
_symmetry_Int_Tables_number 1
_cell_length_a 7.053
_cell_length_b 6.861
_cell_length_c 8.794
_cell_angle_alpha 112.96
_cell_angle_beta 90.00
_cell_angle_gamma 90.00
loop_
_symmetry_equiv_pos_as_xyz
'x,y,z'
loop_
_atom_site_label
_atom_site_type_symbol
_atom_site_fract_x
_atom_site_fract_y
_atom_site_fract_z
_atom_site_occupancy
Rb1 Rb 0.218 0.750 0.500 1
Rb2 Rb 0.782 0.250 0.500 1
Cd1 Cd 0.000 0.000 0.000 1
Cd2 Cd 0.000 0.500 0.000 1
Te1 Te 0.253 0.378 0.755 1
Te2 Te 0.253 0.122 0.245 1
Te3 Te 0.747 0.622 0.245 1
Te4 Te 0.747 0.878 0.755 1
Na1 Na 0.500 0.750 0.000 1
Na2 Na 0.500 0.250 0.000 1
```

Properties
**DFT total energy**: -26.17 eV for the cell shown
**Volume**: 391.8 Å³/cell
**Space group**: No. 67



[2]
Material: RbNa2Tl2Cd2
Method: DFT, PBE
State: relaxed

```
data_RbNa2Tl2Cd2
_chemical_formula_sum 'Rb1 Na2 Tl2 Cd2'
_symmetry_space_group_name_H-M 'P 1'
_symmetry_Int_Tables_number 1
_cell_length_a 5.304
_cell_length_b 5.294
_cell_length_c 10.142
_cell_angle_alpha 105.58
_cell_angle_beta 90.00
_cell_angle_gamma 120.07
loop_
_symmetry_equiv_pos_as_xyz
'x,y,z'
loop_
_atom_site_label
_atom_site_type_symbol
_atom_site_fract_x
_atom_site_fract_y
_atom_site_fract_z
_atom_site_occupancy
Tl1 Tl 0.562 0.124 0.684 1
Tl2 Tl 0.438 0.876 0.316 1
Na1 Na 0.862 0.725 0.587 1
Na2 Na 0.138 0.275 0.413 1
Rb1 Rb 0.000 0.000 0.000 1
Cd1 Cd 0.752 0.503 0.258 1
Cd2 Cd 0.248 0.497 0.742 1
```

Properties
**DOS at the Fermi energy**: 2.0 states/eV/cell
**Volume**: 234.3 Å³/cell
**DFT formation energy**: -0.7 eV per formula unit
**Space group**: No. 12



[3]
Material: Rb2Na3Tl12Cd
Method: DFT, PBE
State: relaxed

```
data_Rb2Na3Tl12Cd
_chemical_formula_sum 'Rb2 Na3 Tl12 Cd1'
_symmetry_space_group_name_H-M 'P 1'
_symmetry_Int_Tables_number 1
_cell_length_a 12.503
_cell_length_b 12.503
_cell_length_c 12.503
_cell_angle_alpha 37.77
_cell_angle_beta 37.77
_cell_angle_gamma 37.77
loop_
_symmetry_equiv_pos_as_xyz
'x,y,z'
loop_
_atom_site_label
_atom_site_type_symbol
_atom_site_fract_x
_atom_site_fract_y
_atom_site_fract_z
_atom_site_occupancy
Tl1 Tl 0.349 0.931 0.931 1
Tl2 Tl 0.069 0.069 0.651 1
Tl3 Tl 0.931 0.349 0.931 1
Tl4 Tl 0.579 0.184 0.579 1
Tl5 Tl 0.579 0.579 0.184 1
Tl6 Tl 0.421 0.421 0.816 1
Tl7 Tl 0.069 0.651 0.069 1
Tl8 Tl 0.816 0.421 0.421 1
Tl9 Tl 0.651 0.069 0.069 1
Tl10 Tl 0.931 0.931 0.349 1
Tl11 Tl 0.421 0.816 0.421 1
Tl12 Tl 0.184 0.579 0.579 1
Rb1 Rb 0.654 0.654 0.654 1
Rb2 Rb 0.346 0.346 0.346 1
Cd1 Cd 0.000 0.000 0.000 1
Na1 Na 0.500 0.000 0.000 1
Na2 Na 0.000 0.500 0.000 1
Na3 Na 0.000 0.000 0.500 1
```

Properties
**DOS at the Fermi energy**: 8.1 states/eV/cell
**Volume**: 658.1 Å³/cell
**DFT formation energy**: 0.5 eV per formula unit
**Space group**: No. 166



[4]
Material: RbNaTl2Cd
Method: DFT, PBE
State: relaxed

```
data_RbNaTl2Cd
_chemical_formula_sum 'Rb2 Na2 Tl4 Cd2'
_symmetry_space_group_name_H-M 'P 1'
_symmetry_Int_Tables_number 1
_cell_length_a 6.733
_cell_length_b 6.159
_cell_length_c 8.587
_cell_angle_alpha 90.00
_cell_angle_beta 90.00
_cell_angle_gamma 90.00
loop_
_symmetry_equiv_pos_as_xyz
'x,y,z'
loop_
_atom_site_label
_atom_site_type_symbol
_atom_site_fract_x
_atom_site_fract_y
_atom_site_fract_z
_atom_site_occupancy
Tl1 Tl 0.230 0.750 0.745 1
Tl2 Tl 0.770 0.250 0.745 1
Tl3 Tl 0.770 0.250 0.255 1
Tl4 Tl 0.230 0.750 0.255 1
Na1 Na 0.405 0.250 0.000 1
Na2 Na 0.595 0.750 0.000 1
Cd1 Cd 0.000 0.000 0.000 1
Cd2 Cd 0.000 0.500 0.000 1
Rb1 Rb 0.733 0.750 0.500 1
Rb2 Rb 0.267 0.250 0.500 1
```

Properties
**DOS at the Fermi energy**: 5.0 states/eV/cell
**Volume**: 356.1 Å³/cell
**Polymorph energy (0 for the lowest one)**: 0 meV/atom
**DFT formation energy**: -0.2 eV per formula unit
**Space group**: No. 51



Number 1: ρ 4.0 g/cm³, M_tot 0.0 μB per formula unit. Number 2: ρ 5.4 g/cm³, M_tot 0.0 μB per formula unit. Number 3: ρ 7.1 g/cm³, M_tot 0.0 μB per formula unit. Number 4: ρ 5.9 g/cm³, M_tot 0.0 μB per formula unit.